First-principles (PBE+U) data for RbCoF2 after structural relaxation, as listed in Alexandria via LeMat-Bulk.

Results
density = 4.5 g/cm³
energy above the lowest structure with this stoichiometry = 63.9 kJ/mol of atoms
N(E_F) = 5.744 states/eV per cell

abc: 4.5575 4.5575 4.5575
angles: 60.00 60.00 60.00
Site moments in Bohr magnetons follow the coordinates.
Fractional positions:
Co 0.0000 0.0000 0.0000  2.42
Rb 0.5000 0.5000 0.5000  0.01
F 0.2500 0.2500 0.2500  0.03
F 0.7500 0.7500 0.7500  0.03